## 1
The following is a DFT calculation (SCAN) of a crystal of MgBeTc2 relaxed with PBEsol.

The spin magnetization is 0.00 μB per formula unit.

The space group is R-3m (No. 166, hexagonal axes) and the conventional cell measures 2.7105, 2.7105 and 25.5929 Å, with angles of 90.00, 90.00 and 120.00 degrees. The inequivalent atoms are Mg at (0.0000, 0.0000, 0.0000), Be at (0.0000, 0.0000, 0.5000) and Tc at (0.0000, 0.0000, 0.2418).

---

## 2
The following is a DFT calculation (SCAN) of a crystal of MgBeTc2 relaxed with PBEsol.

The spin magnetization is 0.00 μB per formula unit.

The space group is F-43m (No. 216) and the conventional cell measures 5.953, 5.953 and 5.953 Å, with angles of 90.00, 90.00 and 90.00 degrees. The inequivalent atoms are Mg at (0.000, 0.000, 0.000), Be at (0.250, 0.250, 0.250), Tc at (0.000, 0.000, 0.500) and Tc at (0.250, 0.250, 0.750).

---

Which is the most stable structure? 2 is the most stable.

---

## 1
The following is a DFT calculation (SCAN) of a crystal of Mg2BeTc relaxed with PBEsol.

The spin magnetization is 0.00 μB per formula unit.

The space group is Cmmm (No. 65) and the conventional cell measures 5.279, 8.445 and 2.675 Å, with angles of 90.00, 90.00 and 90.00 degrees. The inequivalent atoms are Mg at (0.250, 0.250, 0.000), Be at (0.000, 0.000, 0.500) and Tc at (0.000, 0.500, 0.500).

---

## 2
The following is a DFT calculation (SCAN) of a crystal of Mg2BeTc relaxed with PBEsol.

The spin magnetization is 0.23 μB per formula unit.

The space group is Cmm2 (No. 35) and the conventional cell measures 3.340, 4.347 and 8.483 Å, with angles of 90.00, 90.00 and 90.00 degrees. The inequivalent atoms are Mg at (0.000, 0.000, 0.000), Mg at (0.000, 0.500, 0.317), Be at (0.000, 0.500, 0.761) and Tc at (0.000, 0.000, 0.573).

---

Which is the most stable structure? 2 is the most stable.

---

## 1
The following is a DFT calculation (SCAN) of a crystal of MgBe2Tc relaxed with PBEsol.

The spin magnetization is 0.00 μB per formula unit.

The space group is P4/mmm (No. 123) and the conventional cell measures 3.828, 3.828 and 3.183 Å, with angles of 90.00, 90.00 and 90.00 degrees. The inequivalent atoms are Mg at (0.000, 0.000, 0.000), Be at (0.000, 0.500, 0.500) and Tc at (0.500, 0.500, 0.000).

---

## 2
The following is a DFT calculation (SCAN) of a crystal of MgBe2Tc relaxed with PBEsol.

The spin magnetization is 0.00 μB per formula unit.

The space group is F-43m (No. 216) and the conventional cell measures 5.775, 5.775 and 5.775 Å, with angles of 90.00, 90.00 and 90.00 degrees. The inequivalent atoms are Mg at (0.000, 0.000, 0.000), Be at (0.000, 0.000, 0.500), Be at (0.250, 0.250, 0.750) and Tc at (0.250, 0.250, 0.250).

---

Which is the most stable structure? 1 is the most stable.

---

## 1
The following is a DFT calculation (SCAN) of a crystal of MgBeW relaxed with PBEsol.

The spin magnetization is 0.00 μB per formula unit.

The space group is I4mm (No. 107) and the conventional cell measures 2.684, 2.684 and 12.011 Å, with angles of 90.00, 90.00 and 90.00 degrees. The inequivalent atoms are Mg at (0.000, 0.000, 0.000), Be at (0.000, 0.000, 0.333) and W at (0.000, 0.000, 0.691).

---

## 2
The following is a DFT calculation (SCAN) of a crystal of MgBeW relaxed with PBEsol.

The spin magnetization is 0.00 μB per formula unit.

The space group is P3m1 (No. 156) and the conventional cell measures 2.7840, 2.7840 and 6.6710 Å, with angles of 90.00, 90.00 and 120.00 degrees. The inequivalent atoms are Mg at (0.0000, 0.0000, 0.0000), Be at (0.3333, 0.6667, 0.3359) and W at (0.6667, 0.3333, 0.6315).

---

Which is the most stable structure? 1 is the most stable.

---

## 1
The following is a DFT calculation (SCAN) of a crystal of YMgBe relaxed with PBEsol.

The spin magnetization is 0.02 μB per formula unit.

The space group is F-43m (No. 216) and the conventional cell measures 6.489, 6.489 and 6.489 Å, with angles of 90.00, 90.00 and 90.00 degrees. The inequivalent atoms are Y at (0.000, 0.000, 0.000), Mg at (0.250, 0.250, 0.250) and Be at (0.000, 0.000, 0.500).

---

## 2
The following is a DFT calculation (SCAN) of a crystal of YMgBe relaxed with PBEsol.

The spin magnetization is 0.05 μB per formula unit.

The space group is I4mm (No. 107) and the conventional cell measures 3.203, 3.203 and 11.796 Å, with angles of 90.00, 90.00 and 90.00 degrees. The inequivalent atoms are Y at (0.000, 0.000, 0.000), Mg at (0.000, 0.000, 0.718) and Be at (0.000, 0.000, 0.348).

---

## 3
The following is a DFT calculation (SCAN) of a crystal of YMgBe relaxed with PBEsol.

The spin magnetization is 0.36 μB per formula unit.

The space group is F-43m (No. 216) and the conventional cell measures 6.684, 6.684 and 6.684 Å, with angles of 90.00, 90.00 and 90.00 degrees. The inequivalent atoms are Y at (0.000, 0.000, 0.000), Mg at (0.250, 0.250, 0.750) and Be at (0.250, 0.250, 0.250).

---

Which is the most stable structure? 2 is the most stable.

---

## 1
The following is a DFT calculation (SCAN) of a crystal of MgZr2Be relaxed with PBEsol.

The spin magnetization is 0.00 μB per formula unit.

The space group is Fm-3m (No. 225) and the conventional cell measures 6.620, 6.620 and 6.620 Å, with angles of 90.00, 90.00 and 90.00 degrees. The inequivalent atoms are Mg at (0.000, 0.000, 0.000), Zr at (0.250, 0.250, 0.250) and Be at (0.000, 0.000, 0.500).

---

## 2
The following is a DFT calculation (SCAN) of a crystal of MgZr2Be relaxed with PBEsol.

The spin magnetization is 0.12 μB per formula unit.

The space group is P4/mmm (No. 123) and the conventional cell measures 2.952, 2.952 and 8.560 Å, with angles of 90.00, 90.00 and 90.00 degrees. The inequivalent atoms are Mg at (0.000, 0.000, 0.000), Zr at (0.500, 0.500, 0.302) and Be at (0.000, 0.000, 0.500).

---

Which is the most stable structure? 2 is the most stable.